[1]
# Tb5Pm4Dy

A relaxed Tb5Pm4Dy crystal (GGA-PBE, Alexandria).

## Properties
- E_form (eV/atom) = 0.18
- total energy (eV per atom) = -4.493
- energy relative to the lowest polymorph listed for this composition (meV per atom) = 0.0

Cell: 17.290 3.547 11.170 Å, 90.00 90.03 90.00°
Space group C2/m (No. 12)
Unique sites:
Tb: 0.000 0.000 0.000 (multiplicity 2)
Tb: 0.174 0.500 0.552 (multiplicity 4)
Tb: 0.174 0.500 0.947 (multiplicity 4)
Pm: 0.030 0.500 0.750 (multiplicity 4)
Pm: 0.155 0.000 0.250 (multiplicity 4)
Dy: 0.000 0.000 0.500 (multiplicity 2)


[2]
# Tb12PmDy3

A relaxed Tb12PmDy3 crystal (GGA-PBE, Alexandria).

## Properties
- E_form (eV/atom) = 0.02
- total energy (eV per atom) = -4.616

Cell: 5.039 5.039 20.141 Å, 90.00 90.00 90.00°
Space group P4/mmm (No. 123)
Unique sites:
Tb: 0.000 0.000 0.000 (multiplicity 1)
Tb: 0.000 0.000 0.249 (multiplicity 2)
Tb: 0.000 0.000 0.500 (multiplicity 1)
Tb: 0.000 0.500 0.125 (multiplicity 4)
Tb: 0.000 0.500 0.374 (multiplicity 4)
Pm: 0.500 0.500 0.500 (multiplicity 1)
Dy: 0.500 0.500 0.000 (multiplicity 1)
Dy: 0.500 0.500 0.249 (multiplicity 2)


[3]
# Tb2Pm7Dy

A relaxed Tb2Pm7Dy crystal (GGA-PBE, Alexandria).

## Properties
- E_form (eV/atom) = 0.39
- total energy (eV per atom) = -4.323
- energy relative to the lowest polymorph listed for this composition (meV per atom) = 0.0

Cell: 12.036 16.804 3.520 Å, 90.00 90.00 90.00°
Space group Cmmm (No. 65)
Unique sites:
Tb: 0.000 0.168 0.000 (multiplicity 4)
Pm: 0.000 0.323 0.500 (multiplicity 4)
Pm: 0.000 0.500 0.000 (multiplicity 2)
Pm: 0.245 0.372 0.000 (multiplicity 8)
Dy: 0.000 0.000 0.500 (multiplicity 2)


[4]
# TbPm7Dy3

A relaxed TbPm7Dy3 crystal (GGA-PBE, Alexandria).

## Properties
- E_form (eV/atom) = 0.12
- total energy (eV per atom) = -4.579
- energy relative to the lowest polymorph listed for this composition (meV per atom) = 0.0

Cell: 7.072 5.646 10.033 Å, 90.00 110.53 90.00°
Space group P2/m (No. 10)
Unique sites:
Tb: 0.000 0.000 0.000 (multiplicity 1)
Pm: 0.000 0.000 0.500 (multiplicity 1)
Pm: 0.146 0.500 0.792 (multiplicity 2)
Pm: 0.320 0.500 0.140 (multiplicity 2)
Pm: 0.416 0.000 0.329 (multiplicity 2)
Dy: 0.279 0.500 0.500 (multiplicity 2)
Dy: 0.500 0.000 0.000 (multiplicity 1)


[5]
# Tb2Pm6Dy

A relaxed Tb2Pm6Dy crystal (GGA-PBE, Alexandria).

## Properties
- E_form (eV/atom) = 0.13
- total energy (eV per atom) = -4.577
- energy relative to the lowest polymorph listed for this composition (meV per atom) = 46.4

Cell: 9.402 17.709 3.653 Å, 90.00 90.00 90.00°
Space group Cmmm (No. 65)
Unique sites:
Tb: 0.000 0.178 0.000 (multiplicity 4)
Pm: 0.176 0.335 0.500 (multiplicity 8)
Pm: 0.184 0.500 0.000 (multiplicity 4)
Dy: 0.000 0.000 0.500 (multiplicity 2)


[6]
# Tb2Pm2Dy5

A relaxed Tb2Pm2Dy5 crystal (GGA-PBE, Alexandria).

## Properties
- E_form (eV/atom) = 0.24
- total energy (eV per atom) = -4.402
- energy relative to the lowest polymorph listed for this composition (meV per atom) = 26.0

Cell: 21.620 3.495 8.230 Å, 90.00 99.76 90.00°
Space group C2/m (No. 12)
Unique sites:
Tb: 0.047 0.000 0.356 (multiplicity 4)
Pm: 0.182 0.500 0.147 (multiplicity 4)
Dy: 0.000 0.500 0.000 (multiplicity 2)
Dy: 0.097 0.500 0.737 (multiplicity 4)
Dy: 0.190 0.000 0.529 (multiplicity 4)


[7]
# Tb4PmDy7

A relaxed Tb4PmDy7 crystal (GGA-PBE, Alexandria).

## Properties
- E_form (eV/atom) = 0.09
- total energy (eV per atom) = -4.538
- energy relative to the lowest polymorph listed for this composition (meV per atom) = 0.0

Cell: 6.506 6.819 9.043 Å, 85.77 76.76 81.94°
Space group P-1 (No. 2)
Unique sites:
Tb: 0.142 0.303 0.286 (multiplicity 2)
Tb: 0.337 0.890 0.687 (multiplicity 2)
Pm: 0.500 0.500 0.000 (multiplicity 1)
Dy: 0.016 0.249 0.949 (multiplicity 2)
Dy: 0.184 0.798 0.358 (multiplicity 2)
Dy: 0.308 0.398 0.613 (multiplicity 2)
Dy: 0.500 0.000 0.000 (multiplicity 1)


[8]
# TbPmDy5

A relaxed TbPmDy5 crystal (GGA-PBE, Alexandria).

## Properties
- E_form (eV/atom) = 1.09
- total energy (eV per atom) = -3.540
- energy relative to the lowest polymorph listed for this composition (meV per atom) = 897.2

Cell: 5.771 8.614 11.896 Å, 90.00 90.00 90.00°
Space group Immm (No. 71)
Unique sites:
Tb: 0.000 0.000 0.000 (multiplicity 2)
Pm: 0.000 0.000 0.500 (multiplicity 2)
Dy: 0.000 0.000 0.255 (multiplicity 4)
Dy: 0.000 0.322 0.500 (multiplicity 4)
Dy: 0.000 0.500 0.000 (multiplicity 2)


[9]
# Tb5Pm6Dy

A relaxed Tb5Pm6Dy crystal (GGA-PBE, Alexandria).

## Properties
- E_form (eV/atom) = 0.01
- total energy (eV per atom) = -4.677
- energy relative to the lowest polymorph listed for this composition (meV per atom) = 0.0

Cell: 6.254 10.827 11.892 Å, 90.00 100.07 90.00°
Space group C2/m (No. 12)
Unique sites:
Tb: 0.000 0.000 0.000 (multiplicity 2)
Tb: 0.000 0.167 0.500 (multiplicity 4)
Tb: 0.000 0.333 0.000 (multiplicity 4)
Pm: 0.249 0.000 0.750 (multiplicity 4)
Pm: 0.249 0.333 0.750 (multiplicity 8)
Dy: 0.000 0.500 0.500 (multiplicity 2)


[10]
# Tb12PmDy5

A relaxed Tb12PmDy5 crystal (GGA-PBE, Alexandria).

## Properties
- E_form (eV/atom) = 0.09
- total energy (eV per atom) = -4.536

Cell: 11.898 16.944 5.704 Å, 90.00 90.00 90.00°
Space group C2/m (No. 12)
Unique sites:
Tb: 0.151 0.180 0.000 (multiplicity 8)
Tb: 0.152 0.320 0.500 (multiplicity 8)
Tb: 0.199 0.500 0.001 (multiplicity 4)
Tb: 0.201 0.000 0.499 (multiplicity 4)
Pm: 0.000 0.000 0.000 (multiplicity 2)
Dy: 0.000 0.138 0.500 (multiplicity 4)
Dy: 0.000 0.363 0.000 (multiplicity 4)
Dy: 0.000 0.500 0.500 (multiplicity 2)


[11]
# Tb2PmDy

A relaxed Tb2PmDy crystal (GGA-PBE, Alexandria).

## Properties
- E_form (eV/atom) = 0.02
- total energy (eV per atom) = -4.638
- energy relative to the lowest polymorph listed for this composition (meV per atom) = 1.9

Cell: 3.5774 3.5774 35.0088 Å, 90.00 90.00 120.00°
Space group R-3m (No. 166, hexagonal axes)
Unique sites:
Tb: 0.0000 0.0000 0.2489 (multiplicity 6)
Pm: 0.0000 0.0000 0.0000 (multiplicity 3)
Dy: 0.0000 0.0000 0.5000 (multiplicity 3)


[12]
# Tb3PmDy12

A relaxed Tb3PmDy12 crystal (GGA-PBE, Alexandria).

## Properties
- E_form (eV/atom) = 0.02
- total energy (eV per atom) = -4.599

Cell: 5.024 5.024 20.086 Å, 90.00 90.00 90.00°
Space group P4/mmm (No. 123)
Unique sites:
Tb: 0.000 0.000 0.000 (multiplicity 1)
Tb: 0.000 0.000 0.249 (multiplicity 2)
Pm: 0.000 0.000 0.500 (multiplicity 1)
Dy: 0.000 0.500 0.125 (multiplicity 4)
Dy: 0.000 0.500 0.374 (multiplicity 4)
Dy: 0.500 0.500 0.000 (multiplicity 1)
Dy: 0.500 0.500 0.249 (multiplicity 2)
Dy: 0.500 0.500 0.500 (multiplicity 1)


[13]
# Tb12Pm5Dy

A relaxed Tb12Pm5Dy crystal (GGA-PBE, Alexandria).

## Properties
- E_form (eV/atom) = 0.09
- total energy (eV per atom) = -4.574

Cell: 11.847 17.212 5.756 Å, 90.00 90.02 90.00°
Space group C2/m (No. 12)
Unique sites:
Tb: 0.153 0.180 0.000 (multiplicity 8)
Tb: 0.154 0.321 0.501 (multiplicity 8)
Tb: 0.199 0.500 0.999 (multiplicity 4)
Tb: 0.202 0.000 0.501 (multiplicity 4)
Pm: 0.000 0.000 0.000 (multiplicity 2)
Pm: 0.000 0.138 0.500 (multiplicity 4)
Pm: 0.000 0.364 0.000 (multiplicity 4)
Dy: 0.000 0.500 0.500 (multiplicity 2)


[14]
# Tb3Pm4Dy8

A relaxed Tb3Pm4Dy8 crystal (GGA-PBE, Alexandria).

## Properties
- E_form (eV/atom) = 0.12
- total energy (eV per atom) = -4.523
- energy relative to the lowest polymorph listed for this composition (meV per atom) = 0.0

Cell: 6.9630 6.9630 35.4795 Å, 90.00 90.00 120.00°
Space group R-3m (No. 166, hexagonal axes)
Unique sites:
Tb: 0.0000 0.5000 0.0000 (multiplicity 9)
Pm: 0.0000 0.0000 0.0000 (multiplicity 3)
Pm: 0.0000 0.0000 0.1635 (multiplicity 6)
Pm: 0.0000 0.0000 0.5000 (multiplicity 3)
Dy: 0.0000 0.0000 0.2548 (multiplicity 6)
Dy: 0.0016 0.5008 0.2509 (multiplicity 18)


[15]
# TbPm5Dy3

A relaxed TbPm5Dy3 crystal (GGA-PBE, Alexandria).

## Properties
- E_form (eV/atom) = 0.13
- total energy (eV per atom) = -4.556
- energy relative to the lowest polymorph listed for this composition (meV per atom) = 0.0

Cell: 17.598 9.359 7.300 Å, 90.00 90.00 90.00°
Space group Cmcm (No. 63)
Unique sites:
Tb: 0.000 0.171 0.250 (multiplicity 4)
Pm: 0.000 0.196 0.750 (multiplicity 4)
Pm: 0.164 0.176 0.501 (multiplicity 16)
Dy: 0.000 0.500 0.000 (multiplicity 4)
Dy: 0.179 0.500 0.250 (multiplicity 8)


[16]
# Tb3Pm2Dy8

A relaxed Tb3Pm2Dy8 crystal (GGA-PBE, Alexandria).

## Properties
- E_form (eV/atom) = 0.24
- total energy (eV per atom) = -4.392
- energy relative to the lowest polymorph listed for this composition (meV per atom) = 86.5

Cell: 7.629 5.571 10.967 Å, 90.00 110.33 90.00°
Space group P2/m (No. 10)
Unique sites:
Tb: 0.000 0.000 0.000 (multiplicity 1)
Tb: 0.287 0.500 0.000 (multiplicity 2)
Pm: 0.241 0.000 0.482 (multiplicity 2)
Dy: 0.130 0.500 0.260 (multiplicity 2)
Dy: 0.182 0.000 0.786 (multiplicity 2)
Dy: 0.337 0.500 0.673 (multiplicity 2)
Dy: 0.395 0.000 0.214 (multiplicity 2)


[17]
# Tb7Pm4Dy

A relaxed Tb7Pm4Dy crystal (GGA-PBE, Alexandria).

## Properties
- E_form (eV/atom) = 0.09
- total energy (eV per atom) = -4.582
- energy relative to the lowest polymorph listed for this composition (meV per atom) = 0.0

Cell: 6.558 6.853 9.134 Å, 85.58 77.23 82.28°
Space group P-1 (No. 2)
Unique sites:
Tb: 0.000 0.000 0.000 (multiplicity 1)
Tb: 0.190 0.605 0.385 (multiplicity 2)
Tb: 0.317 0.198 0.640 (multiplicity 2)
Tb: 0.488 0.748 0.052 (multiplicity 2)
Pm: 0.160 0.115 0.308 (multiplicity 2)
Pm: 0.361 0.691 0.718 (multiplicity 2)
Dy: 0.000 0.500 0.000 (multiplicity 1)


[18]
# Tb2Pm7Dy3

A relaxed Tb2Pm7Dy3 crystal (GGA-PBE, Alexandria).

## Properties
- E_form (eV/atom) = 0.11
- total energy (eV per atom) = -4.583
- energy relative to the lowest polymorph listed for this composition (meV per atom) = 0.0

Cell: 5.792 38.226 3.632 Å, 90.00 90.00 90.00°
Space group Cmmm (No. 65)
Unique sites:
Tb: 0.000 0.149 0.000 (multiplicity 4)
Pm: 0.000 0.000 0.000 (multiplicity 2)
Pm: 0.000 0.072 0.500 (multiplicity 4)
Pm: 0.000 0.232 0.000 (multiplicity 4)
Pm: 0.000 0.408 0.000 (multiplicity 4)
Dy: 0.000 0.315 0.500 (multiplicity 4)
Dy: 0.000 0.500 0.500 (multiplicity 2)


[19]
# Tb2Pm7Dy

A relaxed Tb2Pm7Dy crystal (GGA-PBE, Alexandria).

## Properties
- E_form (eV/atom) = 0.65
- total energy (eV per atom) = -4.063
- energy relative to the lowest polymorph listed for this composition (meV per atom) = 260.6

Cell: 8.779 16.721 5.564 Å, 90.00 90.00 90.00°
Space group Cmmm (No. 65)
Unique sites:
Tb: 0.000 0.205 0.000 (multiplicity 4)
Pm: 0.000 0.000 0.000 (multiplicity 2)
Pm: 0.000 0.287 0.500 (multiplicity 4)
Pm: 0.179 0.388 0.000 (multiplicity 8)
Dy: 0.000 0.500 0.500 (multiplicity 2)


[20]
# Tb8Pm3Dy

A relaxed Tb8Pm3Dy crystal (GGA-PBE, Alexandria).

## Properties
- E_form (eV/atom) = 0.30
- total energy (eV per atom) = -4.358

Cell: 6.488 11.316 11.480 Å, 90.00 90.00 90.00°
Space group Immm (No. 71)
Unique sites:
Tb: 0.000 0.168 0.250 (multiplicity 8)
Tb: 0.248 0.254 0.000 (multiplicity 8)
Pm: 0.000 0.000 0.000 (multiplicity 2)
Pm: 0.000 0.500 0.247 (multiplicity 4)
Dy: 0.000 0.000 0.500 (multiplicity 2)